No. 1
A plane-wave DFT calculation with PBE was carried out for Ba2NiOs after structural relaxation.

Geometry as extended XYZ:
```
4
Lattice="3.4215 0.0000 0.0000 0.0000 3.9932 0.0000 0.0000 0.0000 8.0143" Properties=species:S:1:pos:R:3 pbc="T T T"
Ba 0.0000 0.0000 1.9964
Ba 0.0000 0.0000 6.0178
Ni 1.7107 1.9966 0.0000
Os 1.7107 1.9966 4.0071
```

The value obtained for the distance to the lowest polymorph of the same formula is 549.1 meV per atom. The space group is Pmmm (47). The value obtained for the final energy is -4.34 eV per atom. As for the magnetization: 1.45 μB/f.u. As for the calculated formation energy: 84 kJ/mol of atoms.



No. 2
A plane-wave DFT calculation with PBE was carried out for BaNiOs2 after structural relaxation.

Geometry as extended XYZ:
```
4
Lattice="3.7141 -2.1441 0.0000 3.7141 2.1441 0.0000 -2.4681 0.0000 5.8249" Properties=species:S:1:pos:R:3 pbc="T T T"
Ba 0.0000 0.0000 0.0000
Ni 4.9605 0.0000 2.4860
Os 0.0083 0.0000 3.2724
Os 2.4845 0.0000 3.0342
```

The value obtained for the distance to the lowest polymorph of the same formula is 0.0 meV per atom. The space group is Cm (8). The value obtained for the final energy is -7.32 eV per atom. As for the magnetization: 0.00 μB/f.u. As for the calculated formation energy: 21 kJ/mol of atoms.



No. 3
A plane-wave DFT calculation with PBE was carried out for BaNi2Os after structural relaxation.

Geometry as extended XYZ:
```
4
Lattice="0.0000 3.2985 3.2985 3.2985 0.0000 3.2985 3.2985 3.2985 0.0000" Properties=species:S:1:pos:R:3 pbc="T T T"
Ba 0.0000 0.0000 0.0000
Ni 1.6493 1.6493 1.6493
Ni 3.2985 3.2985 3.2985
Os 4.9478 4.9478 4.9478
```

The value obtained for the distance to the lowest polymorph of the same formula is 1026.3 meV per atom. The space group is F-43m (216). The value obtained for the final energy is -5.00 eV per atom. As for the magnetization: 1.91 μB/f.u. As for the calculated formation energy: 114 kJ/mol of atoms.